[1]
Compound: RbDySO
Source: OQMD
Functional: GGA-PBE
Structure: relaxed

Structure (POSCAR):
```
RbDySO
1.0
1.8695 1.0793 7.1881
-1.8695 1.0793 7.1881
0.0000 -2.1587 7.1881
Rb S O Dy
1 1 1 1
Cartesian
0.0000 0.0000 21.4713 Rb
0.0000 0.0000 16.5737 S
0.0000 0.0000 4.8260 O
0.0000 0.0000 11.0397 Dy
```

Summary:
Space group: No. 160
Relative energy among the computed polymorphs in eV per atom: 0.0922
Crystal system: trigonal

---

[2]
Compound: ZnTc
Source: OQMD
Functional: GGA-PBE
Structure: relaxed

Structure (POSCAR):
```
ZnTc
1.0
-3.6336 2.7388 0.8674
-3.7066 -6.2818 4.3087
1.9308 1.3925 3.6911
Tc Zn
6 6
Cartesian
-3.9912 -0.2079 4.7794 Tc
-2.7469 1.8387 3.3564 Tc
-6.0736 -1.4225 3.7136 Tc
-2.6664 -2.4732 4.9410 Tc
-1.4727 -0.3882 3.5300 Tc
-2.4444 0.2796 1.1731 Tc
-3.6596 -1.7487 2.5740 Zn
-3.9209 -4.6532 6.4196 Zn
-5.1551 -2.2965 6.1761 Zn
-4.8900 -3.8858 4.0238 Zn
-7.3174 -3.5521 5.1676 Zn
-1.2503 -2.1137 1.4514 Zn
```

Summary:
Energy of formation in meV/atom: 85.6
Space group: No. 26
Relative energy among the computed polymorphs in eV per atom: 0.1162
Crystal system: orthorhombic

---

[3]
Compound: BaNiSn6
Source: OQMD
Functional: GGA-PBE
Structure: relaxed

Structure (POSCAR):
```
BaNiSn6
1.0
-2.3708 -6.6739 -3.7079
6.4346 -0.1324 4.7423
-2.4146 -0.9478 3.2497
Sn Ni Ba
6 1 1
Cartesian
2.0691 -1.0105 3.9027 Sn
1.1319 -3.6488 2.4369 Sn
-0.5632 -5.3311 -1.9733 Sn
1.9086 -5.3819 -0.1515 Sn
3.6755 -3.7011 4.3116 Sn
0.3475 -2.7673 -0.5488 Sn
3.4995 -2.3129 1.9255 Ni
-1.2073 -0.4739 1.6249 Ba
```

Summary:
Space group: No. 187
Uncorrected energy in eV/f.u.: -32.3
Crystal system: hexagonal

---

[4]
Compound: LuGaCuW
Source: OQMD
Functional: GGA-PBE
Structure: relaxed

Structure (POSCAR):
```
LuGaCuW
1.0
0.0000 3.2494 3.2494
3.2494 0.0000 3.2494
3.2494 3.2494 0.0000
Cu Ga Lu W
1 1 1 1
Cartesian
4.8741 4.8741 4.8741 Cu
0.0000 0.0000 0.0000 Ga
3.2494 3.2494 3.2494 Lu
1.6247 1.6247 1.6247 W
```

Summary:
Space group: No. 216
Relative energy among the computed polymorphs in eV per atom: 0.0000
Crystal system: cubic

---

[5]
Compound: Zr4NiSb2P
Source: OQMD
Functional: GGA-PBE
Structure: relaxed

Structure (POSCAR):
```
Zr4NiSb2P
1.0
3.8147 0.0000 0.0000
-1.9074 3.3037 0.0000
0.0000 0.0000 13.5981
Sb Zr Ni P
2 4 1 1
Cartesian
1.9074 1.1012 10.1836 Sb
0.0000 2.2024 3.4146 Sb
0.0000 2.2024 8.2019 Zr
0.0000 2.2024 12.1771 Zr
1.9074 1.1012 5.3962 Zr
1.9074 1.1012 1.4210 Zr
0.0000 0.0000 0.0000 Ni
0.0000 0.0000 6.7991 P
```

Summary:
Space group: No. 164
Uncorrected energy in eV/f.u.: -59.4
Crystal system: trigonal

---

[6]
Compound: HfFeAu
Source: OQMD
Functional: GGA-PBE
Structure: relaxed

Structure (POSCAR):
```
HfFeAu
1.0
0.0000 3.0735 3.0735
3.0735 0.0000 3.0735
3.0735 3.0735 0.0000
Fe Au Hf
1 1 1
Cartesian
4.6102 4.6102 4.6102 Fe
1.5367 1.5367 1.5367 Au
0.0000 0.0000 0.0000 Hf
```

Summary:
Energy of formation in meV/atom: 431.2
Space group: No. 216
Crystal system: cubic

---

[7]
Compound: UZnB
Source: OQMD
Functional: GGA-PBE
Structure: relaxed

Structure (POSCAR):
```
UZnB
1.0
0.0000 3.0052 3.0052
3.0052 0.0000 3.0052
3.0052 3.0052 0.0000
U Zn B
1 1 1
Cartesian
4.5079 4.5079 4.5079 U
0.0000 0.0000 0.0000 Zn
1.5026 1.5026 1.5026 B
```

Summary:
Space group: No. 216
Relative energy among the computed polymorphs in eV per atom: 0.6564
Crystal system: cubic

---

[8]
Compound: ErScCd
Source: OQMD
Functional: GGA-PBE
Structure: relaxed

Structure (POSCAR):
```
ErScCd
1.0
0.0000 3.5045 3.5045
3.5045 0.0000 3.5045
3.5045 3.5045 0.0000
Sc Cd Er
1 1 1
Cartesian
5.2568 5.2568 5.2568 Sc
1.7523 1.7523 1.7523 Cd
0.0000 0.0000 0.0000 Er
```

Summary:
Energy of formation in meV/atom: 567.7
Space group: No. 216
Relative energy among the computed polymorphs in eV per atom: 0.0953
Crystal system: cubic

---

[9]
Compound: Y2NiAuI2
Source: OQMD
Functional: GGA-PBE
Structure: relaxed

Structure (POSCAR):
```
Y2NiAuI2
1.0
-2.2700 -3.5552 -0.8598
4.1706 0.1968 -1.0482
2.8178 -4.3150 10.4019
Au Y I Ni
1 2 2 1
Cartesian
1.3845 -2.1202 5.1110 Au
3.8657 -3.8744 5.8140 Y
2.9977 -2.5453 2.6099 Y
0.3553 -3.0371 0.8435 I
2.3420 -3.5863 8.6454 I
1.3094 -4.4983 4.3658 Ni
```

Summary:
Space group: No. 156
Uncorrected energy in eV/f.u.: -30.5
Crystal system: trigonal

---

[10]
Compound: Si2Os2W3
Source: OQMD
Functional: GGA-PBE
Structure: relaxed

Structure (POSCAR):
```
Si2Os2W3
1.0
3.5849 -0.2461 -6.2731
6.4206 -1.1297 -3.1248
3.7302 -4.2101 -4.5414
W Os Si
3 2 2
Cartesian
12.1608 -4.9454 -12.3411 W
5.0409 -2.0500 -5.1156 W
8.5541 -3.4787 -8.6809 W
0.3250 -0.1322 -0.3298 Os
6.7037 -2.7262 -6.8031 Os
10.4191 -4.2371 -10.5736 Si
3.1545 -1.2829 -3.2013 Si
```

Summary:
Space group: No. 160
Uncorrected energy in eV/f.u.: -70.1
Crystal system: trigonal

---

[11]
Compound: ZnAg2Te
Source: OQMD
Functional: GGA-PBE
Structure: relaxed

Structure (POSCAR):
```
ZnAg2Te
1.0
1.0163 -4.7595 -0.6099
-1.8820 -3.3235 3.0773
-3.4936 -3.0748 -1.5485
Ag Te Zn
2 1 1
Cartesian
0.0000 0.0000 0.0000 Ag
-1.0898 -2.7895 0.2297 Ag
-3.2695 -8.3684 0.6892 Te
-2.1796 -5.5789 0.4595 Zn
```

Summary:
Space group: No. 216
Uncorrected energy in eV/f.u.: -9.4
Crystal system: cubic

---

[12]
Compound: Mg3Sc2CdAu2
Source: OQMD
Functional: GGA-PBE
Structure: relaxed

Structure (POSCAR):
```
Mg3Sc2CdAu2
1.0
-1.4204 -2.1298 -4.0661
3.5622 -3.1957 0.4295
-4.0918 -4.0816 3.5672
Au Mg Cd Sc
2 3 1 2
Cartesian
1.0709 -2.6627 -1.8183 Au
-2.0459 -2.0408 1.7836 Au
-1.7284 -2.0806 -1.1453 Mg
-1.2924 -4.6637 2.8943 Mg
-0.9750 -4.7035 -0.0346 Mg
0.0000 0.0000 0.0000 Cd
0.7704 -2.6060 1.0959 Sc
-3.7913 -4.1383 0.6531 Sc
```

Summary:
Space group: No. 115
Uncorrected energy in eV/f.u.: -28.5
Crystal system: tetragonal